# PBE-GGA CaZrCl3, optimized geometry
# - Uncorrected energy: -20.5 eV per formula unit
# - Density: 2.7 Mg/m³
# - Relative energy among the computed polymorphs: 184.9 meV per atom
# - Uncorrected formation energy: -0.883 eV/atom
data_CaZrCl3
_chemical_formula_sum 'Ca1 Zr1 Cl3'
_cell_length_a 5.296
_cell_length_b 5.296
_cell_length_c 5.296
_cell_angle_alpha 90.00
_cell_angle_beta 90.00
_cell_angle_gamma 90.00
_symmetry_space_group_name_H-M 'P m -3 m'
_symmetry_Int_Tables_number 221
_symmetry_space_group_name_Hall '-P 4 2 3'
loop_
_atom_site_label
_atom_site_type_symbol
_atom_site_fract_x
_atom_site_fract_y
_atom_site_fract_z
Ca1 Ca 0.000 0.000 0.000
Zr1 Zr 0.500 0.500 0.500
Cl1 Cl 0.000 0.000 0.500

---

# PBE-GGA Ca3ZrCl, optimized geometry
# - Uncorrected energy: -13.6 eV per formula unit
# - Density: 1.8 Mg/m³
# - Relative energy among the computed polymorphs: 751.9 meV per atom
# - Uncorrected formation energy: 0.567 eV/atom
data_Ca3ZrCl
_chemical_formula_sum 'Ca3 Zr1 Cl1'
_cell_length_a 6.161
_cell_length_b 6.161
_cell_length_c 6.161
_cell_angle_alpha 90.00
_cell_angle_beta 90.00
_cell_angle_gamma 90.00
_symmetry_space_group_name_H-M 'P m -3 m'
_symmetry_Int_Tables_number 221
_symmetry_space_group_name_Hall '-P 4 2 3'
loop_
_atom_site_label
_atom_site_type_symbol
_atom_site_fract_x
_atom_site_fract_y
_atom_site_fract_z
Ca1 Ca 0.000 0.000 0.500
Zr1 Zr 0.000 0.000 0.000
Cl1 Cl 0.500 0.500 0.500

---

# PBE-GGA CaZrCl, optimized geometry
# - Uncorrected energy: -13.9 eV per formula unit
# - Density: 3.8 Mg/m³
# - Relative energy among the computed polymorphs: 123.7 meV per atom
# - Uncorrected formation energy: -0.517 eV/atom
data_CaZrCl
_chemical_formula_sum 'Ca4 Zr4 Cl4'
_cell_length_a 3.810
_cell_length_b 5.514
_cell_length_c 13.875
_cell_angle_alpha 90.00
_cell_angle_beta 90.00
_cell_angle_gamma 90.00
_symmetry_space_group_name_H-M 'F m m 2'
_symmetry_Int_Tables_number 42
_symmetry_space_group_name_Hall 'F 2 -2'
loop_
_atom_site_label
_atom_site_type_symbol
_atom_site_fract_x
_atom_site_fract_y
_atom_site_fract_z
Ca1 Ca 0.000 0.000 0.000
Zr1 Zr 0.000 0.000 0.688
Cl1 Cl 0.000 0.000 0.340

---

# PBE-GGA CaZrCl3, optimized geometry
# - Uncorrected energy: -21.4 eV per formula unit
# - Density: 3.0 Mg/m³
# - Relative energy among the computed polymorphs: 0.0 meV per atom
# - Uncorrected formation energy: -1.068 eV/atom
data_CaZrCl3
_chemical_formula_sum 'Ca1 Zr1 Cl3'
_cell_length_a 5.103
_cell_length_b 5.103
_cell_length_c 5.103
_cell_angle_alpha 90.00
_cell_angle_beta 90.00
_cell_angle_gamma 90.00
_symmetry_space_group_name_H-M 'P m -3 m'
_symmetry_Int_Tables_number 221
_symmetry_space_group_name_Hall '-P 4 2 3'
loop_
_atom_site_label
_atom_site_type_symbol
_atom_site_fract_x
_atom_site_fract_y
_atom_site_fract_z
Ca1 Ca 0.000 0.000 0.000
Zr1 Zr 0.500 0.500 0.500
Cl1 Cl 0.000 0.500 0.500

---

# PBE-GGA CaZrCl, optimized geometry
# - Uncorrected energy: -14.3 eV per formula unit
# - Density: 3.8 Mg/m³
# - Relative energy among the computed polymorphs: 0.0 meV per atom
# - Uncorrected formation energy: -0.640 eV/atom
data_CaZrCl
_chemical_formula_sum 'Ca1 Zr1 Cl1'
_cell_length_a 3.5318
_cell_length_b 3.5318
_cell_length_c 6.7575
_cell_angle_alpha 90.00
_cell_angle_beta 90.00
_cell_angle_gamma 120.00
_symmetry_space_group_name_H-M 'P 3 m 1'
_symmetry_Int_Tables_number 156
_symmetry_space_group_name_Hall 'P 3 -2"'
loop_
_atom_site_label
_atom_site_type_symbol
_atom_site_fract_x
_atom_site_fract_y
_atom_site_fract_z
Ca1 Ca 0.0000 0.0000 0.0000
Zr1 Zr 0.3333 0.6667 0.6140
Cl1 Cl 0.6667 0.3333 0.3376

---

# PBE-GGA Ca2ZrCl8, optimized geometry
# - Uncorrected energy: -49.4 eV per formula unit
# - Density: 2.3 Mg/m³
# - Uncorrected formation energy: -2.003 eV/atom
data_Ca2ZrCl8
_chemical_formula_sum 'Ca4 Zr2 Cl16'
_cell_length_a 14.492
_cell_length_b 6.451
_cell_length_c 7.025
_cell_angle_alpha 90.00
_cell_angle_beta 91.75
_cell_angle_gamma 90.00
_symmetry_space_group_name_H-M 'C 1 2/m 1'
_symmetry_Int_Tables_number 12
_symmetry_space_group_name_Hall '-C 2y'
loop_
_atom_site_label
_atom_site_type_symbol
_atom_site_fract_x
_atom_site_fract_y
_atom_site_fract_z
Ca1 Ca 0.140 0.000 0.032
Zr1 Zr 0.000 0.000 0.500
Cl1 Cl 0.030 0.251 0.764
Cl2 Cl 0.167 0.000 0.422
Cl3 Cl 0.193 0.500 0.085

---

# PBE-GGA CaZrCl, optimized geometry
# - Uncorrected energy: -12.7 eV per formula unit
# - Density: 3.7 Mg/m³
# - Relative energy among the computed polymorphs: 539.5 meV per atom
# - Uncorrected formation energy: -0.101 eV/atom
data_CaZrCl
_chemical_formula_sum 'Ca1 Zr1 Cl1'
_cell_length_a 4.7421
_cell_length_b 4.7421
_cell_length_c 3.8380
_cell_angle_alpha 90.00
_cell_angle_beta 90.00
_cell_angle_gamma 120.00
_symmetry_space_group_name_H-M 'P -6 m 2'
_symmetry_Int_Tables_number 187
_symmetry_space_group_name_Hall 'P -6 2'
loop_
_atom_site_label
_atom_site_type_symbol
_atom_site_fract_x
_atom_site_fract_y
_atom_site_fract_z
Ca1 Ca 0.0000 0.0000 0.0000
Zr1 Zr 0.6667 0.3333 0.5000
Cl1 Cl 0.3333 0.6667 0.5000

---

# PBE-GGA CaZrCl, optimized geometry
# - Uncorrected energy: -12.2 eV per formula unit
# - Density: 3.9 Mg/m³
# - Relative energy among the computed polymorphs: 699.0 meV per atom
# - Uncorrected formation energy: 0.059 eV/atom
data_CaZrCl
_chemical_formula_sum 'Ca4 Zr4 Cl4'
_cell_length_a 6.594
_cell_length_b 6.594
_cell_length_c 6.594
_cell_angle_alpha 90.00
_cell_angle_beta 90.00
_cell_angle_gamma 90.00
_symmetry_space_group_name_H-M 'F -4 3 m'
_symmetry_Int_Tables_number 216
_symmetry_space_group_name_Hall 'F -4 2 3'
loop_
_atom_site_label
_atom_site_type_symbol
_atom_site_fract_x
_atom_site_fract_y
_atom_site_fract_z
Ca1 Ca 0.000 0.000 0.000
Zr1 Zr 0.000 0.000 0.500
Cl1 Cl 0.250 0.250 0.250

---

# PBE-GGA Ca2Zr2Cl, optimized geometry
# - Uncorrected energy: -22.4 eV per formula unit
# - Density: 3.4 Mg/m³
# - Relative energy among the computed polymorphs: 323.8 meV per atom
# - Uncorrected formation energy: 0.119 eV/atom
data_Ca2Zr2Cl
_chemical_formula_sum 'Ca4 Zr4 Cl2'
_cell_length_a 7.077
_cell_length_b 7.077
_cell_length_c 5.883
_cell_angle_alpha 90.00
_cell_angle_beta 90.00
_cell_angle_gamma 90.00
_symmetry_space_group_name_H-M 'P 4/m b m'
_symmetry_Int_Tables_number 127
_symmetry_space_group_name_Hall '-P 4 2ab'
loop_
_atom_site_label
_atom_site_type_symbol
_atom_site_fract_x
_atom_site_fract_y
_atom_site_fract_z
Ca1 Ca 0.163 0.337 0.000
Zr1 Zr 0.133 0.633 0.500
Cl1 Cl 0.000 0.000 0.000

---

# PBE-GGA Ca2Zr2Cl, optimized geometry
# - Uncorrected energy: -24.0 eV per formula unit
# - Density: 3.2 Mg/m³
# - Relative energy among the computed polymorphs: 0.0 meV per atom
# - Uncorrected formation energy: -0.205 eV/atom
data_Ca2Zr2Cl
_chemical_formula_sum 'Ca4 Zr4 Cl2'
_cell_length_a 3.938
_cell_length_b 3.938
_cell_length_c 19.711
_cell_angle_alpha 90.00
_cell_angle_beta 90.00
_cell_angle_gamma 90.00
_symmetry_space_group_name_H-M 'I 4/m m m'
_symmetry_Int_Tables_number 139
_symmetry_space_group_name_Hall '-I 4 2'
loop_
_atom_site_label
_atom_site_type_symbol
_atom_site_fract_x
_atom_site_fract_y
_atom_site_fract_z
Ca1 Ca 0.000 0.000 0.104
Zr1 Zr 0.000 0.500 0.250
Cl1 Cl 0.000 0.000 0.500

---

# PBE-GGA CaCo3, optimized geometry
# - DFT formation energy: 0.2985 eV/atom
# - Uncorrected energy: -22.1 eV per formula unit
# - Density: 5.2 Mg/m³
data_CaCo3
_chemical_formula_sum 'Ca2 Co6'
_cell_length_a 6.3040
_cell_length_b 6.3040
_cell_length_c 3.9996
_cell_angle_alpha 90.00
_cell_angle_beta 90.00
_cell_angle_gamma 120.00
_symmetry_space_group_name_H-M 'P 63/m m c'
_symmetry_Int_Tables_number 194
_symmetry_space_group_name_Hall '-P 6c 2c'
loop_
_atom_site_label
_atom_site_type_symbol
_atom_site_fract_x
_atom_site_fract_y
_atom_site_fract_z
Ca1 Ca 0.3333 0.6667 0.2500
Co1 Co 0.1248 0.2495 0.7500

---

# PBE-GGA CaCo2, optimized geometry
# - DFT formation energy: 0.3446 eV/atom
# - Uncorrected energy: -15.2 eV per formula unit
# - Density: 5.3 Mg/m³
data_CaCo2
_chemical_formula_sum 'Ca4 Co8'
_cell_length_a 10.317
_cell_length_b 2.860
_cell_length_c 7.212
_cell_angle_alpha 90.00
_cell_angle_beta 110.84
_cell_angle_gamma 90.00
_symmetry_space_group_name_H-M 'C 1 2/m 1'
_symmetry_Int_Tables_number 12
_symmetry_space_group_name_Hall '-C 2y'
loop_
_atom_site_label
_atom_site_type_symbol
_atom_site_fract_x
_atom_site_fract_y
_atom_site_fract_z
Ca1 Ca 0.156 0.000 0.131
Co1 Co 0.040 0.500 0.688
Co2 Co 0.149 0.000 0.514

---

# PBE-GGA CaCo3, optimized geometry
# - DFT formation energy: 0.4261 eV/atom
# - Uncorrected energy: -21.6 eV per formula unit
# - Density: 6.1 Mg/m³
data_CaCo3
_chemical_formula_sum 'Ca2 Co6'
_cell_length_a 2.890
_cell_length_b 4.549
_cell_length_c 8.976
_cell_angle_alpha 90.00
_cell_angle_beta 90.00
_cell_angle_gamma 90.00
_symmetry_space_group_name_H-M 'I m m m'
_symmetry_Int_Tables_number 71
_symmetry_space_group_name_Hall '-I 2 2'
loop_
_atom_site_label
_atom_site_type_symbol
_atom_site_fract_x
_atom_site_fract_y
_atom_site_fract_z
Ca1 Ca 0.000 0.000 0.000
Co1 Co 0.000 0.000 0.500
Co2 Co 0.000 0.500 0.215

---

# PBE-GGA Ca7Co, optimized geometry
# - DFT formation energy: 0.2898 eV/atom
# - Uncorrected energy: -18.8 eV per formula unit
# - Density: 1.9 Mg/m³
data_Ca7Co
_chemical_formula_sum 'Ca28 Co4'
_cell_length_a 10.508
_cell_length_b 10.508
_cell_length_c 10.508
_cell_angle_alpha 90.00
_cell_angle_beta 90.00
_cell_angle_gamma 90.00
_symmetry_space_group_name_H-M 'F m -3 m'
_symmetry_Int_Tables_number 225
_symmetry_space_group_name_Hall '-F 4 2 3'
loop_
_atom_site_label
_atom_site_type_symbol
_atom_site_fract_x
_atom_site_fract_y
_atom_site_fract_z
Ca1 Ca 0.000 0.000 0.000
Ca2 Ca 0.000 0.250 0.250
Co1 Co 0.000 0.000 0.500

---

# PBE-GGA CaCo2, optimized geometry
# - DFT formation energy: 0.2343 eV/atom
# - Uncorrected energy: -15.5 eV per formula unit
# - Density: 4.8 Mg/m³
data_CaCo2
_chemical_formula_sum 'Ca4 Co8'
_cell_length_a 4.053
_cell_length_b 4.053
_cell_length_c 13.263
_cell_angle_alpha 90.00
_cell_angle_beta 90.00
_cell_angle_gamma 90.00
_symmetry_space_group_name_H-M 'I 41/a m d'
_symmetry_Int_Tables_number 141
loop_
_symmetry_equiv_pos_as_xyz
'x,y,z'
'-x,-y,-z'
'-y+1/4,x+3/4,z+1/4'
'y+1/4,-x+3/4,-z+1/4'
'-x+1/2,-y,z+1/2'
'x+1/2,y,-z+1/2'
'y+1/4,-x+1/4,z+3/4'
'-y+1/4,x+1/4,-z+3/4'
'x,-y,-z'
'-x,y,z'
'-y+1/4,-x+1/4,-z+3/4'
'y+1/4,x+1/4,z+3/4'
'-x+1/2,y,-z+1/2'
'x+1/2,-y,z+1/2'
'y+1/4,x+3/4,-z+1/4'
'-y+1/4,-x+3/4,z+1/4'
'x+1/2,y+1/2,z+1/2'
'-x+1/2,-y+1/2,-z+1/2'
'-y+3/4,x+1/4,z+3/4'
'y+3/4,-x+1/4,-z+3/4'
'-x,-y+1/2,z'
'x,y+1/2,-z'
'y+3/4,-x+3/4,z+1/4'
'-y+3/4,x+3/4,-z+1/4'
'x+1/2,-y+1/2,-z+1/2'
'-x+1/2,y+1/2,z+1/2'
'-y+3/4,-x+3/4,-z+1/4'
'y+3/4,x+3/4,z+1/4'
'-x,y+1/2,-z'
'x,-y+1/2,z'
'y+3/4,x+1/4,-z+3/4'
'-y+3/4,-x+1/4,z+3/4'
loop_
_atom_site_label
_atom_site_type_symbol
_atom_site_fract_x
_atom_site_fract_y
_atom_site_fract_z
Ca1 Ca 0.000 0.250 0.375
Co1 Co 0.000 0.250 0.790

---

# PBE-GGA CaCo2, optimized geometry
# - DFT formation energy: 0.1610 eV/atom
# - Uncorrected energy: -15.7 eV per formula unit
# - Density: 4.7 Mg/m³
data_CaCo2
_chemical_formula_sum 'Ca4 Co8'
_cell_length_a 10.634
_cell_length_b 3.828
_cell_length_c 5.538
_cell_angle_alpha 90.00
_cell_angle_beta 99.36
_cell_angle_gamma 90.00
_symmetry_space_group_name_H-M 'C 1 2/m 1'
_symmetry_Int_Tables_number 12
_symmetry_space_group_name_Hall '-C 2y'
loop_
_atom_site_label
_atom_site_type_symbol
_atom_site_fract_x
_atom_site_fract_y
_atom_site_fract_z
Ca1 Ca 0.117 0.000 0.336
Co1 Co 0.087 0.500 0.898
Co2 Co 0.200 0.000 0.884

---

# PBE-GGA CaCo2, optimized geometry
# - DFT formation energy: 0.7882 eV/atom
# - Uncorrected energy: -13.8 eV per formula unit
# - Density: 4.7 Mg/m³
data_CaCo2
_chemical_formula_sum 'Ca3 Co6'
_cell_length_a 6.4225
_cell_length_b 6.4225
_cell_length_c 4.6541
_cell_angle_alpha 90.00
_cell_angle_beta 90.00
_cell_angle_gamma 120.00
_symmetry_space_group_name_H-M 'P -6 2 m'
_symmetry_Int_Tables_number 189
_symmetry_space_group_name_Hall 'P -6 -2'
loop_
_atom_site_label
_atom_site_type_symbol
_atom_site_fract_x
_atom_site_fract_y
_atom_site_fract_z
Ca1 Ca 0.0000 0.0000 0.0000
Ca2 Ca 0.3333 0.6667 0.5000
Co1 Co 0.0000 0.2083 0.5000
Co2 Co 0.0000 0.4615 0.0000

---

# PBE-GGA CaCo3, optimized geometry
# - DFT formation energy: 0.4984 eV/atom
# - Uncorrected energy: -21.3 eV per formula unit
# - Density: 6.2 Mg/m³
data_CaCo3
_chemical_formula_sum 'Ca4 Co12'
_cell_length_a 6.131
_cell_length_b 6.131
_cell_length_c 6.131
_cell_angle_alpha 90.00
_cell_angle_beta 90.00
_cell_angle_gamma 90.00
_symmetry_space_group_name_H-M 'F m -3 m'
_symmetry_Int_Tables_number 225
_symmetry_space_group_name_Hall '-F 4 2 3'
loop_
_atom_site_label
_atom_site_type_symbol
_atom_site_fract_x
_atom_site_fract_y
_atom_site_fract_z
Ca1 Ca 0.000 0.000 0.000
Co1 Co 0.000 0.000 0.500
Co2 Co 0.250 0.250 0.250

---

# PBE-GGA Ca3Co, optimized geometry
# - DFT formation energy: 0.3252 eV/atom
# - Uncorrected energy: -11.8 eV per formula unit
# - Density: 2.3 Mg/m³
data_Ca3Co
_chemical_formula_sum 'Ca3 Co1'
_cell_length_a 3.7743
_cell_length_b 3.7743
_cell_length_c 10.3820
_cell_angle_alpha 90.00
_cell_angle_beta 90.00
_cell_angle_gamma 120.00
_symmetry_space_group_name_H-M 'P -6 m 2'
_symmetry_Int_Tables_number 187
_symmetry_space_group_name_Hall 'P -6 2'
loop_
_atom_site_label
_atom_site_type_symbol
_atom_site_fract_x
_atom_site_fract_y
_atom_site_fract_z
Ca1 Ca 0.0000 0.0000 0.0000
Ca2 Ca 0.3333 0.6667 0.3203
Co1 Co 0.0000 0.0000 0.5000

---

# PBE-GGA CaCo2, optimized geometry
# - DFT formation energy: 0.1828 eV/atom
# - Uncorrected energy: -15.7 eV per formula unit
# - Density: 4.3 Mg/m³
data_CaCo2
_chemical_formula_sum 'Ca4 Co8'
_cell_length_a 6.751
_cell_length_b 3.892
_cell_length_c 9.367
_cell_angle_alpha 90.00
_cell_angle_beta 90.20
_cell_angle_gamma 90.00
_symmetry_space_group_name_H-M 'C 1 2/m 1'
_symmetry_Int_Tables_number 12
_symmetry_space_group_name_Hall '-C 2y'
loop_
_atom_site_label
_atom_site_type_symbol
_atom_site_fract_x
_atom_site_fract_y
_atom_site_fract_z
Ca1 Ca 0.165 0.000 0.192
Co1 Co 0.000 0.500 0.381
Co2 Co 0.167 0.000 0.560